Entry 1:
VASP calculation (PBEsol) on crystalline BaZrBeH2 at its relaxed geometry.

Cell lengths 4.2830, 4.2830, 4.6726 Å; angles 90.00, 90.00, 90.00 degrees
Closest atoms and distances in Å follow each position.
Atoms (fractional coordinates):
1 Be 0.0000 0.0000 0.0000  4 H 2.14, 2 Zr 2.34
2 Ba 0.5000 0.5000 0.5000  4 Zr 3.03, 8 H 3.17
3 Zr 0.0000 0.0000 0.5000  2 Be 2.34
4 H 0.0000 0.5000 0.0000  2 Be 2.14
5 H 0.5000 0.0000 0.0000  2 Be 2.14

Calculated values
E (eV per atom): -3.31
Crystal system: tetragonal
Mass density (g cm⁻³): 4.6

=====

Entry 2:
VASP calculation (PBEsol) on crystalline BaHfBe3 at its relaxed geometry.

Cell lengths 4.6598, 4.6598, 4.6598 Å; angles 90.00, 90.00, 90.00 degrees
Closest atoms and distances in Å follow each position.
Atoms (fractional coordinates):
1 Be 0.0000 0.5000 0.0000  2 Ba 2.33
2 Be 0.0000 0.0000 0.5000  2 Ba 2.33
3 Be 0.5000 0.0000 0.0000  2 Ba 2.33
4 Hf 0.5000 0.5000 0.5000  12 Be 3.29
5 Ba 0.0000 0.0000 0.0000  6 Be 2.33

Calculated values
Crystal system: cubic
Mass density (g cm⁻³): 5.6
Formation energy from the elements (eV/atom): 2.12

=====

Entry 3:
VASP calculation (PBEsol) on crystalline Ba2HfMgBe at its relaxed geometry.

Cell lengths 4.7837, 6.1312, 6.1312 Å; angles 90.00, 90.00, 90.00 degrees
Closest atoms and distances in Å follow each position.
Atoms (fractional coordinates):
1 Be 0.0000 0.0000 0.0000  2 Hf 2.39
2 Mg 0.5000 0.5000 0.5000  8 Ba 3.89, 4 Hf 4.34
3 Hf 0.5000 0.0000 0.0000  2 Be 2.39
4 Ba 0.0000 0.0000 0.5000  2 Be 3.07
5 Ba 0.0000 0.5000 0.0000  2 Be 3.07

Calculated values
Crystal system: tetragonal
Mass density (g cm⁻³): 4.5
Formation energy from the elements (eV/atom): 0.74

=====

Number 1: calculated volume 17.14 A^3/atom. Number 2: calculated volume 20.24 A^3/atom. Number 3: calculated volume 35.97 A^3/atom.